1.
VASP calculation (GGA-PBEsol) on an optimized crystal structure of YAs2Cl.

Computed properties:
**Energy**: -5.393 eV per atom
**Distance to the lowest polymorph of the same formula**: 0 meV per atom
**Volume**: 85 Å³/f.u.
**M_tot**: 0.0 μB per cell

a b c (Å): 5.205 9.716 3.352
angles (deg): 90.00 90.00 90.00
Space group Cmmm (No. 65)
Unique sites:
Y: 0.000 0.000 0.000 [2 per cell]
As: 0.250 0.250 0.500 [4 per cell]
Cl: 0.000 0.500 0.000 [2 per cell]

2.
VASP calculation (GGA-PBEsol) on an optimized crystal structure of Li3Tc.

Computed properties:
**Energy of formation from the pure elements**: 3.0 eV per formula unit
**Energy**: -3.553 eV per atom
**Distance to the lowest polymorph of the same formula**: 410 meV per atom
**Volume**: 57 Å³/f.u.
**M_tot**: 3.9 μB per cell

a b c (Å): 3.670 3.670 8.409
angles (deg): 90.00 90.00 90.00
Space group I4/mmm (No. 139)
Unique sites:
Li: 0.000 0.000 0.000 [2 per cell]
Li: 0.000 0.500 0.250 [4 per cell]
Tc: 0.000 0.000 0.500 [2 per cell]

3.
VASP calculation (GGA-PBEsol) on an optimized crystal structure of Hf2MgCBr.

Computed properties:
**Energy**: -6.691 eV per atom
**Volume**: 89 Å³/f.u.
**M_tot**: 0.0 μB per cell

a b c (Å): 4.544 4.544 4.324
angles (deg): 90.00 90.00 90.00
Space group P4/mmm (No. 123)
Unique sites:
Hf: 0.000 0.500 0.000 [2 per cell]
Mg: 0.000 0.000 0.500 [1 per cell]
C: 0.000 0.000 0.000 [1 per cell]
Br: 0.500 0.500 0.500 [1 per cell]

4.
VASP calculation (GGA-PBEsol) on an optimized crystal structure of AlPd2.

Computed properties:
**Energy of formation from the pure elements**: -2.5 eV per formula unit
**Energy**: -6.181 eV per atom
**Volume**: 42 Å³/f.u.
**M_tot**: 0.0 μB per cell

a b c (Å): 5.374 4.051 7.775
angles (deg): 90.00 90.00 90.00
Space group Pnma (No. 62)
Unique sites:
Al: 0.193 0.250 0.104 [4 per cell]
Pd: 0.043 0.250 0.786 [4 per cell]
Pd: 0.166 0.250 0.433 [4 per cell]